--- P ---
Here is a geometry-optimized Cs2In2Ga structure from Alexandria. Energies are from GGA-PBE.

The volume is 210 Å³/f.u. The value obtained for the total moment is 0.00 μB/f.u.

The structure belongs to space group C2/m (No. 12); the cell edges are 15.128, 4.734 and 13.437 Å and the angles 90.00°, 119.04° and 90.00°. The asymmetric unit holds Cs at (0.021, 0.000, 0.159), Cs at (0.213, 0.000, 0.617), In at (0.004, 0.500, 0.613), In at (0.208, 0.500, 0.053) and Ga at (0.181, 0.500, 0.828).



--- Q ---
Here is a geometry-optimized Cs2In2Ga structure from Alexandria. Energies are from GGA-PBE.

The volume is 231 Å³/f.u. The value obtained for the total moment is 0.00 μB/f.u.

The structure belongs to space group P4/mbm (No. 127); the cell edges are 11.391, 11.391 and 3.568 Å and the angles 90.00°, 90.00° and 90.00°. The asymmetric unit holds Cs at (0.199, 0.301, 0.000), In at (0.091, 0.591, 0.500) and Ga at (0.000, 0.000, 0.000).



--- R ---
Here is a geometry-optimized Cs2In2Ga structure from Alexandria. Energies are from GGA-PBE.

The volume is 193 Å³/f.u. The value obtained for the total moment is 0.00 μB/f.u.

The structure belongs to space group P4/mbm (No. 127); the cell edges are 7.606, 7.606 and 6.677 Å and the angles 90.00°, 90.00° and 90.00°. The asymmetric unit holds Cs at (0.181, 0.319, 0.000), In at (0.140, 0.640, 0.500) and Ga at (0.000, 0.000, 0.500).



Most stable of them? P.



--- P ---
Here is a geometry-optimized CsIn3Ga structure from Alexandria. Energies are from GGA-PBE.

The volume is 273 Å³/f.u. The value obtained for the total moment is 0.00 μB/f.u.

The structure belongs to space group Pm-3m (No. 221); the cell edges are 6.488, 6.488 and 6.488 Å and the angles 90.00°, 90.00° and 90.00°. The asymmetric unit holds Cs at (0.000, 0.000, 0.000), In at (0.000, 0.000, 0.500) and Ga at (0.500, 0.500, 0.500).



--- Q ---
Here is a geometry-optimized CsIn3Ga structure from Alexandria. Energies are from GGA-PBE.

The volume is 165 Å³/f.u. The value obtained for the total moment is 0.00 μB/f.u.

The structure belongs to space group P6_3/mmc (No. 194); the cell edges are 7.7057, 7.7057 and 6.4282 Å and the angles 90.00°, 90.00° and 120.00°. The asymmetric unit holds Cs at (0.3333, 0.6667, 0.2500), In at (0.1814, 0.3628, 0.7500) and Ga at (0.0000, 0.0000, 0.0000).



--- R ---
Here is a geometry-optimized CsIn3Ga structure from Alexandria. Energies are from GGA-PBE.

The volume is 183 Å³/f.u. The value obtained for the total moment is 0.00 μB/f.u.

The structure belongs to space group Pm-3m (No. 221); the cell edges are 5.675, 5.675 and 5.675 Å and the angles 90.00°, 90.00° and 90.00°. The asymmetric unit holds Cs at (0.000, 0.000, 0.000), In at (0.000, 0.500, 0.500) and Ga at (0.500, 0.500, 0.500).



Most stable of them? Q.



--- P ---
Here is a geometry-optimized CsK2InGa structure from Alexandria. Energies are from GGA-PBE.

The volume is 247 Å³/f.u. The value obtained for the total moment is 0.20 μB/f.u.

The structure belongs to space group P4/mmm (No. 123); the cell edges are 6.817, 6.817 and 5.312 Å and the angles 90.00°, 90.00° and 90.00°. The asymmetric unit holds Cs at (0.000, 0.000, 0.000), K at (0.000, 0.500, 0.500), In at (0.500, 0.500, 0.000) and Ga at (0.500, 0.500, 0.500).



--- Q ---
Here is a geometry-optimized CsK2InGa structure from Alexandria. Energies are from GGA-PBE.

The volume is 260 Å³/f.u. The value obtained for the total moment is 0.12 μB/f.u.

The structure belongs to space group P4/mmm (No. 123); the cell edges are 7.026, 7.026 and 5.274 Å and the angles 90.00°, 90.00° and 90.00°. The asymmetric unit holds Cs at (0.000, 0.000, 0.000), K at (0.000, 0.500, 0.500), In at (0.500, 0.500, 0.500) and Ga at (0.500, 0.500, 0.000).



Most stable of them? P.



--- P ---
Here is a geometry-optimized CsNa2InGa structure from Alexandria. Energies are from GGA-PBE.

The volume is 202 Å³/f.u. The value obtained for the total moment is 0.00 μB/f.u.

The structure belongs to space group P4/mmm (No. 123); the cell edges are 6.156, 6.156 and 5.328 Å and the angles 90.00°, 90.00° and 90.00°. The asymmetric unit holds Cs at (0.000, 0.000, 0.000), Na at (0.000, 0.500, 0.500), In at (0.500, 0.500, 0.500) and Ga at (0.500, 0.500, 0.000).



--- Q ---
Here is a geometry-optimized CsNa2InGa structure from Alexandria. Energies are from GGA-PBE.

The volume is 193 Å³/f.u. The value obtained for the total moment is 0.00 μB/f.u.

The structure belongs to space group P4/mmm (No. 123); the cell edges are 6.021, 6.021 and 5.313 Å and the angles 90.00°, 90.00° and 90.00°. The asymmetric unit holds Cs at (0.000, 0.000, 0.000), Na at (0.000, 0.500, 0.500), In at (0.500, 0.500, 0.000) and Ga at (0.500, 0.500, 0.500).



Most stable of them? Q.



--- P ---
Here is a geometry-optimized CsGa2Ir structure from Alexandria. Energies are from GGA-PBE.

The volume is 148 Å³/f.u. The value obtained for the total moment is 0.00 μB/f.u.

The structure belongs to space group I4_1/amd (No. 141, origin choice 2); the cell edges are 6.653, 6.653 and 13.350 Å and the angles 90.00°, 90.00° and 90.00°. The asymmetric unit holds Cs at (0.000, 0.250, 0.375), Ga at (0.000, 0.000, 0.000) and Ir at (0.000, 0.250, 0.875).



--- Q ---
Here is a geometry-optimized CsGa2Ir structure from Alexandria. Energies are from GGA-PBE.

The volume is 110 Å³/f.u. The value obtained for the total moment is 0.00 μB/f.u.

The structure belongs to space group R-3m (No. 166, hexagonal axes); the cell edges are 4.3356, 4.3356 and 20.3091 Å and the angles 90.00°, 90.00° and 120.00°. The asymmetric unit holds Cs at (0.0000, 0.0000, 0.0000), Ga at (0.0000, 0.0000, 0.1931) and Ir at (0.0000, 0.0000, 0.5000).



Most stable of them? Q.



--- P ---
Here is a geometry-optimized CsGa3Ir structure from Alexandria. Energies are from GGA-PBE.

The volume is 122 Å³/f.u. The value obtained for the total moment is 0.00 μB/f.u.

The structure belongs to space group Pm-3m (No. 221); the cell edges are 4.957, 4.957 and 4.957 Å and the angles 90.00°, 90.00° and 90.00°. The asymmetric unit holds Cs at (0.000, 0.000, 0.000), Ga at (0.000, 0.500, 0.500) and Ir at (0.500, 0.500, 0.500).



--- Q ---
Here is a geometry-optimized CsGa3Ir structure from Alexandria. Energies are from GGA-PBE.

The volume is 184 Å³/f.u. The value obtained for the total moment is 0.00 μB/f.u.

The structure belongs to space group Pm-3m (No. 221); the cell edges are 5.685, 5.685 and 5.685 Å and the angles 90.00°, 90.00° and 90.00°. The asymmetric unit holds Cs at (0.000, 0.000, 0.000), Ga at (0.000, 0.000, 0.500) and Ir at (0.500, 0.500, 0.500).



Most stable of them? P.



--- P ---
Here is a geometry-optimized Cs2KGa structure from Alexandria. Energies are from GGA-PBE.

The volume is 238 Å³/f.u. The value obtained for the total moment is 1.83 μB/f.u.

The structure belongs to space group Fm-3m (No. 225); the cell edges are 9.835, 9.835 and 9.835 Å and the angles 90.00°, 90.00° and 90.00°. The asymmetric unit holds Cs at (0.250, 0.250, 0.250), K at (0.000, 0.000, 0.000) and Ga at (0.000, 0.000, 0.500).



--- Q ---
Here is a geometry-optimized Cs2KGa structure from Alexandria. Energies are from GGA-PBE.

The volume is 290 Å³/f.u. The value obtained for the total moment is 0.00 μB/f.u.

The structure belongs to space group R-3m (No. 166, hexagonal axes); the cell edges are 4.6188, 4.6188 and 47.1655 Å and the angles 90.00°, 90.00° and 120.00°. The asymmetric unit holds Cs at (0.0000, 0.0000, 0.0758), K at (0.0000, 0.0000, 0.5000) and Ga at (0.0000, 0.0000, 0.0000).



Most stable of them? P.



--- P ---
Here is a geometry-optimized CsKGa2 structure from Alexandria. Energies are from GGA-PBE.

The volume is 183 Å³/f.u. The value obtained for the total moment is 0.00 μB/f.u.

The structure belongs to space group P2_1/m (No. 11); the cell edges are 4.529, 7.850 and 10.518 Å and the angles 90.00°, 102.24° and 90.00°. The asymmetric unit holds Cs at (0.108, 0.250, 0.216), K at (0.364, 0.250, 0.731) and Ga at (0.250, 0.584, 0.500).



--- Q ---
Here is a geometry-optimized CsKGa2 structure from Alexandria. Energies are from GGA-PBE.

The volume is 165 Å³/f.u. The value obtained for the total moment is 0.00 μB/f.u.

The structure belongs to space group I-42d (No. 122); the cell edges are 9.981, 9.981 and 6.612 Å and the angles 90.00°, 90.00° and 90.00°. The asymmetric unit holds Cs at (0.000, 0.000, 0.000), K at (0.000, 0.000, 0.500) and Ga at (0.236, 0.250, 0.625).



Most stable of them? P.